BaLaSn | GGA-PBE | optimized geometry

The structure belongs to space group I4mm (No. 107); the cell edges are 4.3929, 4.3929 and 11.4493 Å and the angles 90.00°, 90.00° and 90.00°. The inequivalent atoms are Ba at (0.0000, 0.0000, 0.0000), La at (0.0000, 0.0000, 0.2883) and Sn at (0.0000, 0.0000, 0.6718).

The energy comes out at -4.01 eV per atom. For the distance to the lowest polymorph of the same formula, the calculation gives 198.6 meV/atom. The value obtained for the formation energy is -0.392 eV per atom.